Record 1
The following is a DFT calculation (GGA-PBE) of a relaxed structure of PSeCl2.

POSCAR file:
```
PSeCl2
1.0
-2.1442 2.1442 9.0081
2.1442 -2.1442 9.0081
2.1442 2.1442 -9.0081
P Se Cl
2 2 4
Direct
0.0000 0.0000 0.0000
0.7500 0.2500 0.5000
0.2500 0.7500 0.5000
0.5000 0.5000 0.0000
0.1144 0.6250 0.9894
0.3750 0.3644 0.4894
0.6356 0.1250 0.0106
0.8750 0.8856 0.5106
```

Computed properties:
Symmetry: I-42d (122)
Size of the total moment (μB per cell): 0.0
Calculated volume (Å³ per atom): 20.7
DFT total energy (eV per formula unit): -10.49
Energy above the most stable polymorph in this dataset (kJ/mol of formula units): 285
Fermi-level density of states (states/eV/f.u.): 2.22

Record 2
The following is a DFT calculation (GGA-PBE) of a relaxed structure of PSe2Cl.

POSCAR file:
```
PSe2Cl
1.0
-1.5382 3.7763 4.8937
1.5382 -3.7763 4.8937
1.5382 3.7763 -4.8937
P Se Cl
1 2 1
Direct
0.0000 0.0000 0.0000
0.1769 0.6769 0.5000
0.8231 0.3231 0.5000
0.5000 0.5000 0.0000
```

Computed properties:
Symmetry: Immm (71)
Size of the total moment (μB per cell): 0.3
Calculated volume (Å³ per atom): 28.4
DFT total energy (eV per formula unit): -13.11
Energy above the most stable polymorph in this dataset (kJ/mol of formula units): 185
Fermi-level density of states (states/eV/f.u.): 2.83

Record 3
The following is a DFT calculation (GGA-PBE) of a relaxed structure of PSe2Cl.

POSCAR file:
```
PSe2Cl
1.0
3.4566 0.0000 0.0000
0.0000 3.4566 0.0000
0.0000 0.0000 6.8775
P Se Cl
1 2 1
Direct
0.0000 0.0000 0.0000
0.5000 0.5000 0.1838
0.5000 0.5000 0.8162
0.0000 0.0000 0.5000
```

Computed properties:
Symmetry: P4/mmm (123)
Size of the total moment (μB per cell): 0.0
Calculated volume (Å³ per atom): 20.5
DFT total energy (eV per formula unit): -12.71
Energy above the most stable polymorph in this dataset (kJ/mol of formula units): 223
Fermi-level density of states (states/eV/f.u.): 1.31

Record 4
The following is a DFT calculation (GGA-PBE) of a relaxed structure of P2SeCl.

POSCAR file:
```
P2SeCl
1.0
-1.6699 3.4145 3.8325
1.6699 -3.4145 3.8325
1.6699 3.4145 -3.8325
P Se Cl
2 1 1
Direct
0.2337 0.2337 0.0000
0.7663 0.7663 0.0000
0.0000 0.5000 0.5000
0.5000 0.0000 0.5000
```

Computed properties:
Symmetry: Immm (71)
Size of the total moment (μB per cell): 0.0
Calculated volume (Å³ per atom): 21.9
DFT total energy (eV per formula unit): -13.73
Energy above the most stable polymorph in this dataset (kJ/mol of formula units): 265
Fermi-level density of states (states/eV/f.u.): 2.68

Record 5
The following is a DFT calculation (GGA-PBE) of a relaxed structure of P2SeCl.

POSCAR file:
```
P2SeCl
1.0
3.3949 0.0000 0.0000
0.0000 3.5327 0.0000
0.0000 0.0000 7.9914
P Se Cl
2 1 1
Direct
0.0000 0.0000 0.0000
0.5000 0.5000 0.0458
0.0000 0.0000 0.7278
0.5000 0.5000 0.3044
```

Computed properties:
Symmetry: Pmm2 (25)
Size of the total moment (μB per cell): 0.0
Calculated volume (Å³ per atom): 24.0
DFT total energy (eV per formula unit): -16.46
Energy above the most stable polymorph in this dataset (kJ/mol of formula units): 2
Fermi-level density of states (states/eV/f.u.): 1.29

Record 6
The following is a DFT calculation (GGA-PBE) of a relaxed structure of PSe2Cl.

POSCAR file:
```
PSe2Cl
1.0
3.7218 0.0000 0.0000
0.0000 3.7218 0.0000
0.0000 0.0000 7.4123
P Se Cl
1 2 1
Direct
0.0000 0.0000 0.0000
0.0000 0.5000 0.5000
0.5000 0.0000 0.5000
0.5000 0.5000 0.0000
```

Computed properties:
Symmetry: P4/mmm (123)
Size of the total moment (μB per cell): 1.2
Calculated volume (Å³ per atom): 25.7
DFT total energy (eV per formula unit): -12.01
Energy above the most stable polymorph in this dataset (kJ/mol of formula units): 291
Fermi-level density of states (states/eV/f.u.): 2.80

Number 1: raw formation energy 0.52 eV per atom. Number 2: raw formation energy 0.28 eV per atom. Number 3: raw formation energy 0.38 eV per atom. Number 4: raw formation energy 0.60 eV per atom. Number 5: raw formation energy -0.08 eV per atom. Number 6: raw formation energy 0.55 eV per atom.